1.
Compound: PuPaAg2
Source: the Alexandria database
Functional: PBE
Structure: relaxed

## Properties
- mass density (Mg/m³) = 12.7
- offset from the most stable computed form (meV/atom) = 235.0
- E_form (eV per atom) = 0.385
- uncorrected energy (eV/atom) = -7.00

Cell: 2.972 2.972 11.917 Å, 82.84 82.84 60.00°
Site moments in Bohr magnetons follow the coordinates.
Atoms (fractional coordinates):
Pu1 0.500 0.500 0.500  4.88
Ag1 0.088 0.088 0.735  0.01
Ag2 0.912 0.912 0.265  0.01
Pa1 0.000 0.000 0.000  0.04

=====

2.
Compound: Pu2PaAg
Source: the Alexandria database
Functional: PBE
Structure: relaxed

## Properties
- mass density (Mg/m³) = 14.1
- offset from the most stable computed form (meV/atom) = 128.6
- E_form (eV per atom) = 0.251
- uncorrected energy (eV/atom) = -10.00

Cell: 4.856 4.479 4.479 Å, 90.00 90.00 90.00°
Site moments in Bohr magnetons follow the coordinates.
Atoms (fractional coordinates):
Ag1 0.500 0.000 0.000  0.06
Pu1 0.000 0.500 0.000  5.46
Pu2 0.000 0.000 0.500  5.46
Pa1 0.500 0.500 0.500  0.89